# 1
VASP calculation (PBE-GGA) on HfScSn4 after structural relaxation.

Mass density in g/cm³: 8.33
SG: Amm2

a b c (Å): 4.2359 8.1223 8.1223
angles (deg): 29.87 90.00 90.00
Positions (direct):
Hf (0.0000, 0.0000, 0.0000)
Sc (0.5000, 0.7991, 0.7991)
Sn (0.0000, 0.3314, 0.3314)
Sn (0.0000, 0.6487, 0.6487)
Sn (0.5000, 0.1474, 0.1474)
Sn (0.5000, 0.4648, 0.4648)

=====

# 2
VASP calculation (PBE-GGA) on Nd2Sm2BrNCl4 after structural relaxation.

Mass density in g/cm³: 5.17
SG: C2/m

a b c (Å): 8.8710 8.8710 8.3083
angles (deg): 104.44 104.44 24.77
Positions (direct):
Nd (0.0008, 0.0008, 0.2972)
Nd (0.9992, 0.9992, 0.7028)
Sm (0.3561, 0.3561, 0.4204)
Sm (0.6439, 0.6439, 0.5796)
Br (0.5000, 0.5000, 0.0000)
N (0.5000, 0.5000, 0.5000)
Cl (0.1670, 0.1670, 0.8323)
Cl (0.1725, 0.1725, 0.3477)
Cl (0.8275, 0.8275, 0.6523)
Cl (0.8330, 0.8330, 0.1677)

=====

# 3
VASP calculation (PBE-GGA) on GdBeAu after structural relaxation.

Mass density in g/cm³: 9.91
SG: F-43m

a b c (Å): 4.4150 4.4150 4.4150
angles (deg): 60.00 60.00 60.00
Positions (direct):
Gd (0.0000, 0.0000, 0.0000)
Be (0.7500, 0.7500, 0.7500)
Au (0.5000, 0.5000, 0.5000)

=====

Number 1: electronic total energy -34.41 eV for the cell shown. Number 2: electronic total energy -54.65 eV for the cell shown. Number 3: electronic total energy -12.13 eV for the cell shown.